A plane-wave DFT calculation with PBE-GGA was carried out for a geometry-optimized Ho3Zn3Cu2Ni structure.

abc: 6.998 6.998 3.867
angles: 90.00 90.00 120.00
Atoms (fractional coordinates):
1 Cu 0.667 0.333 0.500
2 Zn 0.762 0.000 0.500
3 Ho 0.594 0.594 0.000
4 Ho 0.000 0.406 0.000
5 Ni 0.000 0.000 0.000
6 Cu 0.333 0.667 0.500
7 Zn 0.000 0.762 0.500
8 Ho 0.406 0.000 0.000
9 Zn 0.238 0.238 0.500

Summary:
- E_form: -372 meV per atom
- Crystal system: hexagonal

---

A plane-wave DFT calculation with PBE-GGA was carried out for a geometry-optimized HoNpCu structure.

abc: 4.772 4.772 4.772
angles: 60.00 60.00 60.00
Atoms (fractional coordinates):
1 Ho 0.250 0.250 0.250
2 Np 0.750 0.750 0.750
3 Cu 0.000 0.000 0.000

Summary:
- E_form: 532 meV per atom
- Crystal system: cubic

---

| no. | VASP energy (eV per formula unit) |
| --- | --- |
| 1 | -33.88 |
| 2 | -19.47 |